Record 1
First-principles (PBE-GGA) data for Dy2Y3Tm4 after structural relaxation, as listed in Alexandria via LeMat-Bulk.

a = 9.9006 Å, b = 9.9006 Å, c = 6.0862 Å
α = 94.87°, β = 94.87°, γ = 70.88°
Last column: nearest neighbours and their distance in Å.
Fractional coordinates of all 18 atoms:
Dy (0.0209, 0.7359, 0.6800)  4 Tm 3.26-3.57, 4 Y 3.38-3.47
Dy (0.2641, 0.9791, 0.8200)  4 Tm 3.26-3.57, 4 Y 3.38-3.47
Dy (0.7359, 0.0209, 0.1800)  4 Tm 3.26-3.57, 4 Y 3.38-3.47
Dy (0.9791, 0.2641, 0.3200)  4 Tm 3.26-3.57, 4 Y 3.38-3.47
Y (0.0975, 0.9025, 0.2500)  4 Dy 3.38-3.47, 4 Tm 3.45-3.48, 2 Y 3.78
Y (0.2366, 0.4316, 0.4111)  6 Tm 3.35-3.48, 2 Dy 3.44-3.45
Y (0.4316, 0.2366, 0.9111)  6 Tm 3.35-3.48, 2 Dy 3.44-3.45
Y (0.5684, 0.7634, 0.0889)  6 Tm 3.35-3.48, 2 Dy 3.44-3.45
Y (0.7634, 0.5684, 0.5889)  6 Tm 3.35-3.48, 2 Dy 3.44-3.45
Y (0.9025, 0.0975, 0.7500)  4 Dy 3.38-3.47, 4 Tm 3.45-3.48, 2 Y 3.78
Tm (0.0737, 0.3547, 0.8484)  1 Tm 3.26, 4 Y 3.35-3.48, 3 Dy 3.37-3.57
Tm (0.3127, 0.5951, 0.9848)  1 Dy 3.26, 4 Y 3.36-3.45, 3 Tm 3.36-3.56
Tm (0.3547, 0.0737, 0.3484)  1 Tm 3.26, 4 Y 3.35-3.48, 3 Dy 3.37-3.57
Tm (0.4049, 0.6873, 0.5152)  1 Dy 3.26, 4 Y 3.36-3.45, 3 Tm 3.36-3.56
Tm (0.5951, 0.3127, 0.4848)  1 Dy 3.26, 4 Y 3.36-3.45, 3 Tm 3.36-3.56
Tm (0.6453, 0.9263, 0.6516)  1 Tm 3.26, 4 Y 3.35-3.48, 3 Dy 3.37-3.57
Tm (0.6873, 0.4049, 0.0152)  1 Dy 3.26, 4 Y 3.36-3.45, 3 Tm 3.36-3.56
Tm (0.9263, 0.6453, 0.1516)  1 Tm 3.26, 4 Y 3.35-3.48, 3 Dy 3.37-3.57

Properties
Formation enthalpy at 0 K   0.11 eV per atom
Symmetry   C2/c (15)


Record 2
First-principles (PBE-GGA) data for Tm2SiAs after structural relaxation, as listed in Alexandria via LeMat-Bulk.

a = 3.9452 Å, b = 3.9452 Å, c = 20.9885 Å
α = 90.00°, β = 90.00°, γ = 120.00°
Last column: nearest neighbours and their distance in Å.
Fractional coordinates of all 12 atoms:
Tm (0.0000, 0.0000, 0.2475)  3 As 2.84, 3 Si 2.90
Tm (0.0000, 0.0000, 0.7525)  3 As 2.84, 3 Si 2.90
Tm (0.3333, 0.6667, 0.4192)  3 As 2.84, 3 Si 2.90
Tm (0.3333, 0.6667, 0.9142)  3 As 2.84, 3 Si 2.90
Tm (0.6667, 0.3333, 0.0858)  3 As 2.84, 3 Si 2.90
Tm (0.6667, 0.3333, 0.5808)  3 As 2.84, 3 Si 2.90
Si (0.0000, 0.0000, 0.0000)  6 Tm 2.90
Si (0.3333, 0.6667, 0.6667)  6 Tm 2.90
Si (0.6667, 0.3333, 0.3333)  6 Tm 2.90
As (0.0000, 0.0000, 0.5000)  6 Tm 2.84
As (0.3333, 0.6667, 0.1667)  6 Tm 2.84
As (0.6667, 0.3333, 0.8333)  6 Tm 2.84

Properties
ΔE_f (raw)   -0.97 eV per atom
Symmetry   R-3m (166)
Offset from the most stable computed form   0.151 eV/atom


Number 1: calculated volume 560.6 Å³ per cell, E_tot -5.059 eV per atom. Number 2: calculated volume 282.9 Å³ per cell, E_tot -5.725 eV per atom.